Entry 1:
# CaCr2Re (SCAN, PBEsol geometry)
data_CaCr2Re
_cell_length_a 2.786
_cell_length_b 4.020
_cell_length_c 6.156
_cell_angle_alpha 90.00
_cell_angle_beta 99.77
_cell_angle_gamma 90.00
_space_group_name_H-M_alt 'P 1 2/m 1'
_space_group_IT_number 10
_space_group_name_Hall '-P 2y'
loop_
_atom_site_label
_atom_site_fract_x
_atom_site_fract_y
_atom_site_fract_z
Ca1 0.000 0.000 0.000
Cr1 0.183 0.500 0.658
Re1 0.500 0.000 0.500
# - Calculated formation energy: 571 meV/atom
# - Distance to the lowest polymorph of the same formula: 0.0 meV per atom
# - E: -28.812 eV/atom
# - Crystal system: monoclinic

=====

Entry 2:
# TaI2BrN (SCAN, PBEsol geometry)
data_TaI2BrN
_cell_length_a 5.946
_cell_length_b 5.946
_cell_length_c 3.609
_cell_angle_alpha 90.00
_cell_angle_beta 90.00
_cell_angle_gamma 90.00
_space_group_name_H-M_alt 'P 4/m m m'
_space_group_IT_number 123
_space_group_name_Hall '-P 4 2'
loop_
_atom_site_label
_atom_site_fract_x
_atom_site_fract_y
_atom_site_fract_z
Ta1 0.000 0.000 0.000
I1 0.000 0.500 0.500
Br1 0.500 0.500 0.500
N1 0.500 0.500 0.000
# - Distance to the lowest polymorph of the same formula: 1847.3 meV per atom
# - E: -31.801 eV/atom
# - Crystal system: tetragonal

=====

Entry 3:
# LiLaBe2Cu (SCAN, PBEsol geometry)
data_LiLaBe2Cu
_cell_length_a 4.366
_cell_length_b 4.366
_cell_length_c 5.090
_cell_angle_alpha 90.00
_cell_angle_beta 90.00
_cell_angle_gamma 90.00
_space_group_name_H-M_alt 'P 4/m m m'
_space_group_IT_number 123
_space_group_name_Hall '-P 4 2'
loop_
_atom_site_label
_atom_site_fract_x
_atom_site_fract_y
_atom_site_fract_z
Li1 0.000 0.000 0.000
La1 0.500 0.500 0.000
Be1 0.000 0.500 0.500
Cu1 0.500 0.500 0.500
# - Calculated formation energy: 456 meV/atom
# - E: -13.424 eV/atom
# - Crystal system: tetragonal

=====

Entry 4:
# LiMgS3 (SCAN, PBEsol geometry)
data_LiMgS3
_cell_length_a 4.409
_cell_length_b 4.409
_cell_length_c 4.409
_cell_angle_alpha 90.00
_cell_angle_beta 90.00
_cell_angle_gamma 90.00
_space_group_name_H-M_alt 'P m -3 m'
_space_group_IT_number 221
_space_group_name_Hall '-P 4 2 3'
loop_
_atom_site_label
_atom_site_fract_x
_atom_site_fract_y
_atom_site_fract_z
Li1 0.000 0.000 0.000
Mg1 0.500 0.500 0.500
S1 0.000 0.000 0.500
# - E: -7.259 eV/atom
# - Crystal system: cubic

=====

Entry 5:
# NaCa2Hg2 (SCAN, PBEsol geometry)
data_NaCa2Hg2
_cell_length_a 8.366
_cell_length_b 8.366
_cell_length_c 4.013
_cell_angle_alpha 90.00
_cell_angle_beta 90.00
_cell_angle_gamma 90.00
_space_group_name_H-M_alt 'P 4/m b m'
_space_group_IT_number 127
_space_group_name_Hall '-P 4 2ab'
loop_
_atom_site_label
_atom_site_fract_x
_atom_site_fract_y
_atom_site_fract_z
Na1 0.000 0.000 0.000
Ca1 0.160 0.340 0.500
Hg1 0.135 0.635 0.000
# - Calculated formation energy: -551 meV/atom
# - E: -32.525 eV/atom
# - Crystal system: tetragonal

=====

Entry 6:
# NaGa3Ir (SCAN, PBEsol geometry)
data_NaGa3Ir
_cell_length_a 4.791
_cell_length_b 4.791
_cell_length_c 4.791
_cell_angle_alpha 90.00
_cell_angle_beta 90.00
_cell_angle_gamma 90.00
_space_group_name_H-M_alt 'P m -3 m'
_space_group_IT_number 221
_space_group_name_Hall '-P 4 2 3'
loop_
_atom_site_label
_atom_site_fract_x
_atom_site_fract_y
_atom_site_fract_z
Na1 0.000 0.000 0.000
Ga1 0.000 0.500 0.500
Ir1 0.500 0.500 0.500
# - Calculated formation energy: -337 meV/atom
# - E: -25.208 eV/atom
# - Crystal system: cubic

=====

Entry 7:
# Er4Ge6Ir7 (SCAN, PBEsol geometry)
data_Er4Ge6Ir7
_cell_length_a 8.261
_cell_length_b 8.261
_cell_length_c 8.261
_cell_angle_alpha 90.00
_cell_angle_beta 90.00
_cell_angle_gamma 90.00
_space_group_name_H-M_alt 'I m -3 m'
_space_group_IT_number 229
_space_group_name_Hall '-I 4 2 3'
loop_
_atom_site_label
_atom_site_fract_x
_atom_site_fract_y
_atom_site_fract_z
Er1 0.250 0.250 0.250
Ge1 0.000 0.000 0.316
Ir1 0.000 0.000 0.000
Ir2 0.000 0.250 0.500
# - Calculated formation energy: -1058 meV/atom
# - E: -48.916 eV/atom
# - Crystal system: cubic

=====

Entry 8:
# KIr2Pb (SCAN, PBEsol geometry)
data_KIr2Pb
_cell_length_a 9.630
_cell_length_b 3.003
_cell_length_c 6.288
_cell_angle_alpha 90.00
_cell_angle_beta 99.81
_cell_angle_gamma 90.00
_space_group_name_H-M_alt 'C 1 2/m 1'
_space_group_IT_number 12
_space_group_name_Hall '-C 2y'
loop_
_atom_site_label
_atom_site_fract_x
_atom_site_fract_y
_atom_site_fract_z
K1 0.000 0.000 0.000
Ir1 0.236 0.000 0.663
Pb1 0.000 0.500 0.500
# - Calculated formation energy: 765 meV/atom
# - E: -55.812 eV/atom
# - Crystal system: monoclinic